CdMo2Pd | PBE | optimized geometry

Summary:
- density of states at the Fermi level (states/eV/cell) = 5.87
- formation energy from the elements (eV/atom) = 0.569
- crystal system = tetragonal

Structure (extended XYZ):
```
8
Lattice="-1.8607 1.8607 10.2559 1.8607 -1.8607 10.2559 1.8607 1.8607 -10.2559" Properties=species:S:1:pos:R:3 pbc="T T T"
Cd 0.0000 0.0000 0.0000
Cd 0.0000 1.8607 5.1280
Mo 2.7911 0.9284 -2.5640
Mo 0.9284 0.9304 2.5640
Mo -0.9304 0.9323 7.6919
Mo 0.9323 0.9304 12.8199
Pd 1.8607 0.0000 5.1280
Pd 0.0000 0.0000 10.2559
```



CdMoPd2 | PBE | optimized geometry

Summary:
- density of states at the Fermi level (states/eV/cell) = 2.47
- formation energy from the elements (eV/atom) = -0.163
- crystal system = tetragonal
- offset from the most stable computed form (meV/atom) = 0.0

Structure (extended XYZ):
```
4
Lattice="2.8352 0.0000 0.0000 0.0000 2.8352 0.0000 0.0000 0.0000 8.1106" Properties=species:S:1:pos:R:3 pbc="T T T"
Cd 0.0000 0.0000 0.0000
Mo 0.0000 0.0000 4.0553
Pd 1.4176 1.4176 2.1320
Pd 1.4176 1.4176 5.9786
```



Cd2MoPd | PBE | optimized geometry

Summary:
- density of states at the Fermi level (states/eV/cell) = 2.31
- formation energy from the elements (eV/atom) = 0.327
- crystal system = cubic
- offset from the most stable computed form (meV/atom) = 0.0

Structure (extended XYZ):
```
4
Lattice="0.0000 3.3102 3.3102 3.3102 0.0000 3.3102 3.3102 3.3102 0.0000" Properties=species:S:1:pos:R:3 pbc="T T T"
Cd 1.6551 1.6551 1.6551
Cd 4.9653 4.9653 4.9653
Mo 0.0000 0.0000 0.0000
Pd 3.3102 3.3102 3.3102
```



CdMo3Pd | PBE | optimized geometry

Summary:
- density of states at the Fermi level (states/eV/cell) = 7.66
- formation energy from the elements (eV/atom) = 1.819
- crystal system = cubic
- offset from the most stable computed form (meV/atom) = 0.0

Structure (extended XYZ):
```
5
Lattice="4.7584 0.0000 0.0000 0.0000 4.7584 0.0000 0.0000 0.0000 4.7584" Properties=species:S:1:pos:R:3 pbc="T T T"
Cd 0.0000 0.0000 0.0000
Mo 0.0000 2.3792 2.3792
Mo 2.3792 0.0000 2.3792
Mo 2.3792 2.3792 0.0000
Pd 2.3792 2.3792 2.3792
```



Cd2MoPd9 | PBE | optimized geometry

Summary:
- density of states at the Fermi level (states/eV/cell) = 9.71
- formation energy from the elements (eV/atom) = -0.206
- crystal system = tetragonal

Structure (extended XYZ):
```
12
Lattice="3.9751 0.0000 0.0000 0.0000 3.9751 0.0000 0.0000 0.0000 12.1472" Properties=species:S:1:pos:R:3 pbc="T T T"
Cd 0.0000 0.0000 2.0360
Cd 0.0000 0.0000 10.1112
Mo 0.0000 0.0000 6.0736
Pd 0.0000 1.9876 0.0000
Pd 0.0000 1.9876 4.1920
Pd 0.0000 1.9876 7.9552
Pd 1.9876 0.0000 0.0000
Pd 1.9876 0.0000 4.1920
Pd 1.9876 0.0000 7.9552
Pd 1.9876 1.9876 2.1066
Pd 1.9876 1.9876 6.0736
Pd 1.9876 1.9876 10.0405
```



Cd2MoPdPt | PBE | optimized geometry

Summary:
- density of states at the Fermi level (states/eV/cell) = 4.95
- formation energy from the elements (eV/atom) = 1.180
- crystal system = tetragonal

Structure (extended XYZ):
```
5
Lattice="5.2714 0.0000 0.0000 0.0000 5.2714 0.0000 0.0000 0.0000 4.7057" Properties=species:S:1:pos:R:3 pbc="T T T"
Cd 0.0000 2.6357 0.0000
Cd 2.6357 0.0000 0.0000
Mo 0.0000 0.0000 0.0000
Pd 2.6357 2.6357 2.3529
Pt 0.0000 0.0000 2.3529
```



TiCd2MoPd | PBE | optimized geometry

Summary:
- density of states at the Fermi level (states/eV/cell) = 4.88
- formation energy from the elements (eV/atom) = 0.970
- crystal system = tetragonal

Structure (extended XYZ):
```
5
Lattice="5.2442 0.0000 0.0000 0.0000 5.2442 0.0000 0.0000 0.0000 4.4473" Properties=species:S:1:pos:R:3 pbc="T T T"
Ti 0.0000 0.0000 0.0000
Cd 0.0000 2.6221 2.2236
Cd 2.6221 0.0000 2.2236
Mo 0.0000 0.0000 2.2236
Pd 2.6221 2.6221 0.0000
```



ZrCdMo2Pd | PBE | optimized geometry

Summary:
- density of states at the Fermi level (states/eV/cell) = 10.03
- formation energy from the elements (eV/atom) = 1.752
- crystal system = tetragonal

Structure (extended XYZ):
```
5
Lattice="4.8831 0.0000 0.0000 0.0000 4.8831 0.0000 0.0000 0.0000 4.7641" Properties=species:S:1:pos:R:3 pbc="T T T"
Zr 0.0000 0.0000 0.0000
Cd 2.4415 2.4415 2.3821
Mo 0.0000 2.4415 2.3821
Mo 2.4415 0.0000 2.3821
Pd 2.4415 2.4415 0.0000
```



CdMoPt2 | PBE | optimized geometry

Summary:
- density of states at the Fermi level (states/eV/cell) = 1.69
- formation energy from the elements (eV/atom) = 0.034
- crystal system = tetragonal

Structure (extended XYZ):
```
4
Lattice="3.2958 0.0000 0.0000 0.0000 3.2958 0.0000 0.0000 0.0000 6.2887" Properties=species:S:1:pos:R:3 pbc="T T T"
Cd 0.0000 0.0000 0.0000
Mo 1.6479 1.6479 1.8806
Pt 0.0000 0.0000 3.1202
Pt 1.6479 1.6479 4.6857
```



CdMo2Pt | PBE | optimized geometry

Summary:
- density of states at the Fermi level (states/eV/cell) = 2.41
- formation energy from the elements (eV/atom) = 0.151
- crystal system = orthorhombic

Structure (extended XYZ):
```
4
Lattice="2.7045 -4.4509 0.0000 2.7045 4.4509 0.0000 0.0000 0.0000 2.7337" Properties=species:S:1:pos:R:3 pbc="T T T"
Cd 0.0000 0.0000 0.0000
Mo 1.3522 2.2254 1.3669
Mo 1.3522 -2.2254 1.3669
Pt 2.7045 0.0000 0.0000
```



CdMoPt2 | PBE | optimized geometry

Summary:
- density of states at the Fermi level (states/eV/cell) = 3.12
- formation energy from the elements (eV/atom) = -0.025
- crystal system = monoclinic

Structure (extended XYZ):
```
4
Lattice="4.6151 -1.4023 0.0000 4.6151 1.4023 0.0000 -0.7200 0.0000 5.1387" Properties=species:S:1:pos:R:3 pbc="T T T"
Cd 0.0000 0.0000 0.0000
Mo 4.2551 0.0000 2.5694
Pt 1.7385 0.0000 3.7635
Pt 6.7717 0.0000 1.3752
```



CdMo2Pt | PBE | optimized geometry

Summary:
- density of states at the Fermi level (states/eV/cell) = 3.68
- formation energy from the elements (eV/atom) = 0.133
- crystal system = orthorhombic

Structure (extended XYZ):
```
4
Lattice="2.7345 0.0000 0.0000 0.0000 4.4018 0.0000 0.0000 0.0000 5.5021" Properties=species:S:1:pos:R:3 pbc="T T T"
Cd 0.0000 0.0000 0.0000
Mo 1.3672 2.2009 1.4685
Mo 1.3672 2.2009 4.0336
Pt 0.0000 0.0000 2.7510
```